# CsVSe2O8 GGA+U relaxed
data_CsVSe2O8
_cell_length_a 5.1289
_cell_length_b 5.1289
_cell_length_c 27.7451
_cell_angle_alpha 90.00
_cell_angle_beta 90.00
_cell_angle_gamma 120.00
_space_group_name_H-M_alt 'R -3'
_space_group_IT_number 148
_space_group_name_Hall '-R 3'
loop_
_atom_site_label
_atom_site_fract_x
_atom_site_fract_y
_atom_site_fract_z
Cs1 0.0000 0.0000 0.0000
V1 0.0000 0.0000 0.5000
Se1 0.0000 0.0000 0.2294
O1 0.0000 0.0000 0.2888
O2 0.0057 0.6332 0.8768
# Total energy, eV/atom: -5.7733
# M_tot, μB/f.u.: 2.00